VASP calculation (PBE) on a geometry-optimized Rb4Tm3HfTe8 structure.

a b c (Å): 8.816 9.961 8.816
angles (deg): 116.28 120.00 90.00
Sites, in units of the cell vectors:
Rb: 0.500 0.000 0.000
Rb: 0.500 0.000 0.500
Rb: 0.000 0.000 0.000
Rb: 0.000 0.000 0.500
Tm: 0.500 0.500 0.000
Tm: 0.500 0.500 0.500
Tm: 0.000 0.500 0.500
Hf: 0.000 0.500 0.000
Te: 0.226 0.695 0.969
Te: 0.226 0.695 0.452
Te: 0.267 0.301 0.534
Te: 0.743 0.695 0.969
Te: 0.257 0.305 0.031
Te: 0.733 0.699 0.466
Te: 0.774 0.305 0.548
Te: 0.774 0.305 0.031

**SG**: No. 166
**Fermi-level density of states**: 4.7 states/eV per cell
**E_tot**: -4.491 eV per atom